(a)
The following is a GGA-PBE calculation of a geometry-optimized LiAl2Os2 structure, from the Alexandria database.

As for the magnetic moment: 0.00 μB/f.u.

The space group is P4/mbm (No. 127) and the conventional cell measures 7.675, 7.675 and 2.635 Å, with angles of 90.00, 90.00 and 90.00 degrees. Symmetry generates all atoms from Li at (0.000, 0.000, 0.000), Al at (0.161, 0.339, 0.500) and Os at (0.136, 0.636, 0.000).

(b)
The following is a GGA-PBE calculation of a geometry-optimized LiAl2Os2 structure, from the Alexandria database.

As for the magnetic moment: 0.00 μB/f.u.

The space group is P4/mbm (No. 127) and the conventional cell measures 6.773, 6.773 and 3.149 Å, with angles of 90.00, 90.00 and 90.00 degrees. Symmetry generates all atoms from Li at (0.000, 0.000, 0.000), Al at (0.139, 0.361, 0.000) and Os at (0.158, 0.658, 0.500).

Stability, lowest: (b)

(a)
The following is a GGA-PBE calculation of a geometry-optimized Li3AlOs structure, from the Alexandria database.

As for the magnetic moment: 0.20 μB/f.u.

The space group is Pm-3m (No. 221) and the conventional cell measures 4.640, 4.640 and 4.640 Å, with angles of 90.00, 90.00 and 90.00 degrees. Symmetry generates all atoms from Li at (0.000, 0.000, 0.500), Al at (0.500, 0.500, 0.500) and Os at (0.000, 0.000, 0.000).

(b)
The following is a GGA-PBE calculation of a geometry-optimized Li3AlOs structure, from the Alexandria database.

As for the magnetic moment: 1.44 μB/f.u.

The space group is Pm-3m (No. 221) and the conventional cell measures 4.388, 4.388 and 4.388 Å, with angles of 90.00, 90.00 and 90.00 degrees. Symmetry generates all atoms from Li at (0.000, 0.000, 0.500), Al at (0.000, 0.000, 0.000) and Os at (0.500, 0.500, 0.500).

Stability, lowest: (b)

(a)
The following is a GGA-PBE calculation of a geometry-optimized LiAlOs3 structure, from the Alexandria database.

As for the magnetic moment: 0.59 μB/f.u.

The space group is Pm-3m (No. 221) and the conventional cell measures 4.113, 4.113 and 4.113 Å, with angles of 90.00, 90.00 and 90.00 degrees. Symmetry generates all atoms from Li at (0.000, 0.000, 0.000), Al at (0.500, 0.500, 0.500) and Os at (0.000, 0.000, 0.500).

(b)
The following is a GGA-PBE calculation of a geometry-optimized LiAlOs3 structure, from the Alexandria database.

As for the magnetic moment: 1.54 μB/f.u.

The space group is Pm-3m (No. 221) and the conventional cell measures 4.470, 4.470 and 4.470 Å, with angles of 90.00, 90.00 and 90.00 degrees. Symmetry generates all atoms from Li at (0.000, 0.000, 0.000), Al at (0.500, 0.500, 0.500) and Os at (0.000, 0.500, 0.500).

Stability, lowest: (b)